(a)
Material: ReTc3Ir
Method: DFT, PBE
State: relaxed

Magnetization ... 0.00 Bohr magnetons per cell
Crystal system ... cubic
SG ... Pm-3m

Cell: 4.599 4.599 4.599 Å, 90.00 90.00 90.00°
Sites, in units of the cell vectors:
Re  0.000  0.000  0.000
Tc  0.000  0.000  0.500
Tc  0.000  0.500  0.000
Tc  0.500  0.000  0.000
Ir  0.500  0.500  0.500

=====

(b)
Material: ReTc3Ir
Method: DFT, PBE
State: relaxed

Magnetization ... 0.00 Bohr magnetons per cell
Crystal system ... triclinic
SG ... P-1

Cell: 4.799 5.182 6.522 Å, 76.71 68.45 89.96°
Sites, in units of the cell vectors:
Re  0.217  0.351  0.403
Re  0.783  0.649  0.597
Tc  0.015  0.952  0.798
Tc  0.183  0.453  0.801
Tc  0.380  0.852  0.401
Tc  0.620  0.148  0.599
Tc  0.817  0.547  0.199
Tc  0.985  0.048  0.202
Ir  0.417  0.751  0.000
Ir  0.583  0.249  0.000

=====

Which structure is the least stable? The one labeled (a).

=====

(a)
Material: ReTc2Ir2
Method: DFT, PBE
State: relaxed

Magnetization ... 0.00 Bohr magnetons per cell
Crystal system ... tetragonal
SG ... P4/mbm

Cell: 7.409 7.409 2.765 Å, 90.00 90.00 90.00°
Sites, in units of the cell vectors:
Re  0.000  0.000  0.000
Re  0.500  0.500  0.000
Tc  0.173  0.327  0.500
Tc  0.327  0.827  0.500
Tc  0.673  0.173  0.500
Tc  0.827  0.673  0.500
Ir  0.124  0.624  0.000
Ir  0.376  0.124  0.000
Ir  0.624  0.876  0.000
Ir  0.876  0.376  0.000

=====

(b)
Material: ReTc2Ir2
Method: DFT, PBE
State: relaxed

Magnetization ... 0.00 Bohr magnetons per cell
Crystal system ... triclinic
SG ... P-1

Cell: 2.720 6.533 9.024 Å, 72.49 89.84 78.16°
Sites, in units of the cell vectors:
Re  0.058  0.380  0.158
Re  0.942  0.620  0.842
Tc  0.335  0.826  0.523
Tc  0.358  0.791  0.045
Tc  0.642  0.209  0.955
Tc  0.665  0.174  0.477
Ir  0.236  0.030  0.745
Ir  0.455  0.579  0.340
Ir  0.545  0.421  0.660
Ir  0.764  0.970  0.255

=====

Which structure is the least stable? The one labeled (a).

=====

(a)
Material: Re3TcIr
Method: DFT, PBE
State: relaxed

Magnetization ... 0.00 Bohr magnetons per cell
Crystal system ... cubic
SG ... Pm-3m

Cell: 4.580 4.580 4.580 Å, 90.00 90.00 90.00°
Sites, in units of the cell vectors:
Re  0.000  0.000  0.500
Re  0.000  0.500  0.000
Re  0.500  0.000  0.000
Tc  0.000  0.000  0.000
Ir  0.500  0.500  0.500

=====

(b)
Material: Re3TcIr
Method: DFT, PBE
State: relaxed

Magnetization ... 0.00 Bohr magnetons per cell
Crystal system ... monoclinic
SG ... P2_1/c

Cell: 7.096 4.802 9.427 Å, 90.00 113.51 90.00°
Sites, in units of the cell vectors:
Re  0.051  0.167  0.201
Re  0.051  0.333  0.701
Re  0.146  0.665  0.095
Re  0.146  0.835  0.595
Re  0.447  0.167  0.799
Re  0.447  0.333  0.299
Re  0.553  0.667  0.701
Re  0.553  0.833  0.201
Re  0.854  0.165  0.405
Re  0.854  0.335  0.905
Re  0.949  0.667  0.299
Re  0.949  0.833  0.799
Tc  0.355  0.665  0.905
Tc  0.355  0.835  0.405
Tc  0.645  0.165  0.595
Tc  0.645  0.335  0.095
Ir  0.251  0.164  0.001
Ir  0.251  0.336  0.501
Ir  0.749  0.664  0.499
Ir  0.749  0.836  0.999

=====

Which structure is the least stable? The one labeled (a).

=====

(a)
Material: ReTeIr3
Method: DFT, PBE
State: relaxed

Magnetization ... 0.00 Bohr magnetons per cell
Crystal system ... cubic
SG ... Pm-3m

Cell: 4.749 4.749 4.749 Å, 90.00 90.00 90.00°
Sites, in units of the cell vectors:
Re  0.000  0.000  0.000
Te  0.500  0.500  0.500
Ir  0.000  0.500  0.500
Ir  0.500  0.000  0.500
Ir  0.500  0.500  0.000

=====

(b)
Material: ReTeIr3
Method: DFT, PBE
State: relaxed

Magnetization ... 0.00 Bohr magnetons per cell
Crystal system ... cubic
SG ... Pm-3m

Cell: 4.771 4.771 4.771 Å, 90.00 90.00 90.00°
Sites, in units of the cell vectors:
Re  0.000  0.000  0.000
Te  0.500  0.500  0.500
Ir  0.000  0.000  0.500
Ir  0.000  0.500  0.000
Ir  0.500  0.000  0.000

=====

Which structure is the least stable? The one labeled (a).